1.
The following is a DFT calculation (PBE) of crystalline AcMnGa2S6 at its relaxed geometry.

Values from the calculation:
The calculation puts the formation energy from raw total energies at -88 kJ/mol of atoms. The total DFT energy (no corrections) comes out at -5.327 eV per atom.

```
AcMnGa2S6
1.0
-4.156 4.505 -4.568
-8.258 -2.745 -0.557
-4.738 5.711 4.581
Ac Mn Ga S
2 2 4 12
direct
0.250 0.821 0.179
0.750 0.179 0.821
0.250 0.199 0.801
0.750 0.801 0.199
0.334 0.772 0.635
0.166 0.365 0.228
0.666 0.228 0.365
0.834 0.635 0.772
0.163 0.968 0.815
0.337 0.185 0.032
0.837 0.032 0.185
0.663 0.815 0.968
0.443 0.907 0.368
0.057 0.632 0.093
0.557 0.093 0.632
0.943 0.368 0.907
0.083 0.729 0.572
0.417 0.428 0.271
0.917 0.271 0.428
0.583 0.572 0.729
```


2.
The following is a DFT calculation (PBE) of crystalline KNiIN2 at its relaxed geometry.

Values from the calculation:
Its energy above the most stable polymorph in this dataset is 1076 meV per atom. The calculation puts the formation energy from raw total energies at 218 kJ/mol of atoms. The total DFT energy (no corrections) comes out at -2.759 eV per atom.

```
KNiIN2
1.0
-3.585 0.831 -3.212
2.641 -2.146 -3.503
-2.831 -6.075 1.588
I Ni K N
1 1 1 2
direct
0.000 0.000 0.500
0.500 0.500 0.500
0.000 0.000 0.000
0.000 0.500 0.000
0.500 0.000 0.000
```


3.
The following is a DFT calculation (PBE) of crystalline MgTeN2 at its relaxed geometry.

Values from the calculation:
Its energy above the most stable polymorph in this dataset is 0 meV per atom. The calculation puts the formation energy from raw total energies at 9 kJ/mol of atoms. The total DFT energy (no corrections) comes out at -5.257 eV per atom.

```
MgTeN2
1.0
5.497 0.000 0.000
0.000 6.384 0.000
0.000 0.000 7.635
Mg Te N
4 4 8
direct
0.002 0.538 0.873
0.502 0.462 0.127
0.502 0.962 0.373
0.002 0.038 0.627
0.027 0.643 0.350
0.527 0.357 0.650
0.527 0.857 0.850
0.027 0.143 0.150
0.351 0.697 0.272
0.851 0.303 0.728
0.851 0.803 0.772
0.351 0.197 0.228
0.390 0.541 0.858
0.890 0.459 0.142
0.890 0.959 0.358
0.390 0.041 0.642
```